1.
The following is a DFT calculation (GGA-PBE) of crystalline TaRuW2 at its relaxed geometry.

The structure in CIF format:
```
data_TaRuW2
_symmetry_space_group_name_H-M 'R -3 m'
_symmetry_Int_Tables_number 166
_symmetry_space_group_name_Hall '-R 3 2"'
_cell_length_a 2.8179
_cell_length_b 2.8179
_cell_length_c 28.4726
_cell_angle_alpha 90.00
_cell_angle_beta 90.00
_cell_angle_gamma 120.00
loop_
_atom_site_label
_atom_site_type_symbol
_atom_site_fract_x
_atom_site_fract_y
_atom_site_fract_z
_atom_site_occupancy
Ta1 Ta 0.0000 0.0000 0.0000 1
Ru1 Ru 0.0000 0.0000 0.5000 1
W1 W 0.0000 0.0000 0.2444 1
```

Results
- ΔH_f (0 K) (eV per atom) = 0.25
- energy relative to the lowest polymorph listed for this composition (meV per atom) = 325


2.
The following is a DFT calculation (GGA-PBE) of crystalline La3Y2Se6 at its relaxed geometry.

The structure in CIF format:
```
data_La3Y2Se6
_symmetry_space_group_name_H-M 'R -3 m'
_symmetry_Int_Tables_number 166
_symmetry_space_group_name_Hall '-R 3 2"'
_cell_length_a 4.2290
_cell_length_b 4.2290
_cell_length_c 62.3435
_cell_angle_alpha 90.00
_cell_angle_beta 90.00
_cell_angle_gamma 120.00
loop_
_atom_site_label
_atom_site_type_symbol
_atom_site_fract_x
_atom_site_fract_y
_atom_site_fract_z
_atom_site_occupancy
La1 La 0.0000 0.0000 0.0000 1
La2 La 0.0000 0.0000 0.2762 1
Y1 Y 0.0000 0.0000 0.4501 1
Se1 Se 0.0000 0.0000 0.0874 1
Se2 Se 0.0000 0.0000 0.1952 1
Se3 Se 0.0000 0.0000 0.3623 1
```

Results
- ΔE_f (raw) (eV/f.u.) = -21.0


3.
The following is a DFT calculation (GGA-PBE) of crystalline PmErScCd at its relaxed geometry.

The structure in CIF format:
```
data_PmErScCd
_symmetry_space_group_name_H-M 'F -4 3 m'
_symmetry_Int_Tables_number 216
_symmetry_space_group_name_Hall 'F -4 2 3'
_cell_length_a 7.5939
_cell_length_b 7.5939
_cell_length_c 7.5939
_cell_angle_alpha 90.00
_cell_angle_beta 90.00
_cell_angle_gamma 90.00
loop_
_atom_site_label
_atom_site_type_symbol
_atom_site_fract_x
_atom_site_fract_y
_atom_site_fract_z
_atom_site_occupancy
Pm1 Pm 0.0000 0.0000 0.0000 1
Er1 Er 0.0000 0.0000 0.5000 1
Sc1 Sc 0.2500 0.2500 0.2500 1
Cd1 Cd 0.2500 0.2500 0.7500 1
```

Results
- ΔH_f (0 K) (eV per atom) = -0.05
- energy relative to the lowest polymorph listed for this composition (meV per atom) = 71


4.
The following is a DFT calculation (GGA-PBE) of crystalline TmGa3Ni3 at its relaxed geometry.

The structure in CIF format:
```
data_TmGa3Ni3
_symmetry_space_group_name_H-M 'R -3'
_symmetry_Int_Tables_number 148
_symmetry_space_group_name_Hall '-R 3'
_cell_length_a 6.4387
_cell_length_b 6.4387
_cell_length_c 17.8028
_cell_angle_alpha 90.00
_cell_angle_beta 90.00
_cell_angle_gamma 120.00
loop_
_atom_site_label
_atom_site_type_symbol
_atom_site_fract_x
_atom_site_fract_y
_atom_site_fract_z
_atom_site_occupancy
Tm1 Tm 0.0000 0.0000 0.1579 1
Ga1 Ga 0.0357 0.4228 0.3758 1
Ni1 Ni 0.0099 0.2330 0.5666 1
```

Results
- ΔH_f (0 K) (eV per atom) = -0.36
- energy relative to the lowest polymorph listed for this composition (meV per atom) = 0


Listing final energy for the structures above in their given order: -11.5096; -6.3261; -4.1863; -4.7780 eV/atom.